Entry 1:
{"formula": "PdF4", "functional": "PBE-GGA", "state": "optimized geometry", "e_above_lowest_polymorph_kj_per_mol_atoms": 3.2, "e_form_raw_kj_per_mol_fu": -538.0, "lattice": [[4.8064, 0.0000, 0.0000], [0.0000, 5.7094, 0.0000], [-0.2365, 0.0000, 5.4086]], "species": ["Pd", "Pd", "F", "F", "F", "F", "F", "F", "F", "F"], "frac_coords": [[0.0000, 0.1319, 0.2500], [0.0000, 0.8681, 0.7500], [0.2229, 0.1189, 0.5676], [0.2229, 0.8811, 0.0676], [0.2307, 0.3548, 0.1042], [0.2307, 0.6452, 0.6042], [0.7693, 0.3548, 0.3958], [0.7693, 0.6452, 0.8958], [0.7771, 0.1189, 0.9324], [0.7771, 0.8811, 0.4324]]}

***

Entry 2:
{"formula": "GaHPd3", "functional": "PBE-GGA", "state": "optimized geometry", "e_above_lowest_polymorph_kj_per_mol_atoms": 19.7, "n_ef_per_ev_cell": 6.67, "lattice": [[4.9748, 0.0000, 0.0000], [0.0000, 7.6223, 0.0000], [0.0000, 0.0000, 7.4196]], "species": ["Ga", "Ga", "Ga", "Ga", "H", "H", "H", "H", "Pd", "Pd", "Pd", "Pd", "Pd", "Pd", "Pd", "Pd", "Pd", "Pd", "Pd", "Pd"], "frac_coords": [[0.0000, 0.0000, 0.0000], [0.0000, 0.5000, 0.0000], [0.5000, 0.0000, 0.5000], [0.5000, 0.5000, 0.5000], [0.0019, 0.2500, 0.4869], [0.4981, 0.7500, 0.9869], [0.5019, 0.2500, 0.0131], [0.9981, 0.7500, 0.5131], [0.0560, 0.0665, 0.3342], [0.0560, 0.4335, 0.3342], [0.2467, 0.2500, 0.6617], [0.2533, 0.7500, 0.1617], [0.4440, 0.5665, 0.8342], [0.4440, 0.9335, 0.8342], [0.5560, 0.0665, 0.1658], [0.5560, 0.4335, 0.1658], [0.7467, 0.2500, 0.8383], [0.7533, 0.7500, 0.3383], [0.9440, 0.5665, 0.6658], [0.9440, 0.9335, 0.6658]]}

***

Entry 3:
{"formula": "RbCrFe2Sb", "functional": "PBE-GGA", "state": "optimized geometry", "e_form_raw_kj_per_mol_fu": 532.2, "n_ef_per_ev_cell": 9.81, "lattice": [[5.0326, 0.0000, 0.0000], [0.0000, 5.0326, 0.0000], [0.0000, 0.0000, 5.3919]], "species": ["Rb", "Cr", "Fe", "Fe", "Sb"], "frac_coords": [[0.0000, 0.0000, 0.0000], [0.5000, 0.5000, 0.0000], [0.0000, 0.5000, 0.5000], [0.5000, 0.0000, 0.5000], [0.5000, 0.5000, 0.5000]]}

***

Entry 4:
{"formula": "TlCoAg2", "functional": "PBE-GGA", "state": "optimized geometry", "ef_kj_per_mol_fu": 138, "e_above_lowest_polymorph_kj_per_mol_atoms": 0.0, "n_ef_per_ev_cell": 2.11, "lattice": [[5.7240, -1.5199, 0.0000], [5.7240, 1.5199, 0.0000], [-1.8019, 0.0000, 4.1831]], "species": ["Tl", "Co", "Ag", "Ag"], "frac_coords": [[0.0000, 0.0000, 0.0000], [0.5000, 0.5000, 0.5000], [0.2140, 0.2140, 0.7141], [0.7860, 0.7860, 0.2859]]}

***

Entry 5:
{"formula": "AcCeCuSi", "functional": "PBE-GGA", "state": "optimized geometry", "e_form_raw_kj_per_mol_fu": -82.6, "n_ef_per_ev_cell": 10.03, "lattice": [[0.0000, 3.7043, 3.7043], [3.7043, 0.0000, 3.7043], [3.7043, 3.7043, 0.0000]], "species": ["Ac", "Ce", "Cu", "Si"], "frac_coords": [[0.0000, 0.0000, 0.0000], [0.5000, 0.5000, 0.5000], [0.2500, 0.2500, 0.2500], [0.7500, 0.7500, 0.7500]]}

***

Entry 6:
{"formula": "Pm2NdSm4", "functional": "PBE-GGA", "state": "optimized geometry", "ef_kj_per_mol_fu": 164, "e_above_lowest_polymorph_kj_per_mol_atoms": 14.0, "n_ef_per_ev_cell": 10.16, "lattice": [[-2.3074, 2.3074, 11.4966], [2.3074, -2.3074, 11.4966], [2.3074, 2.3074, -11.4966]], "species": ["Pm", "Pm", "Nd", "Sm", "Sm", "Sm", "Sm"], "frac_coords": [[0.0966, 0.0966, 0.0000], [0.9034, 0.9034, 0.0000], [0.5000, 0.5000, 0.0000], [0.2500, 0.7500, 0.5000], [0.3616, 0.3616, 0.0000], [0.6384, 0.6384, 0.0000], [0.7500, 0.2500, 0.5000]]}

***

Entry 7:
{"formula": "TiBe", "functional": "PBE-GGA", "state": "optimized geometry", "ef_kj_per_mol_fu": 83, "e_above_lowest_polymorph_kj_per_mol_atoms": 55.5, "n_ef_per_ev_cell": 2.29, "lattice": [[0.0000, 2.4145, 2.4145], [2.4145, 0.0000, 2.4145], [2.4145, 2.4145, 0.0000]], "species": ["Ti", "Be"], "frac_coords": [[0.0000, 0.0000, 0.0000], [0.5000, 0.5000, 0.5000]]}